w:
Compound: Li2CoRe
Source: Alexandria via LeMat-Bulk
Functional: PBE
Structure: optimized geometry

a = 2.5124 Å, b = 4.6013 Å, c = 4.4776 Å
α = 90.00°, β = 93.74°, γ = 90.00°
Last column: nearest neighbours and their distance in Å.
Space group P2/m (No. 10)
Asymmetric unit:
Li 0.1892 0.0000 0.2507  5 Li 2.38-2.64, 2 Co 2.61
Co 0.0000 0.5000 0.5000  4 Re 2.49-2.64, 2 Co 2.51, 4 Li 2.61
Re 0.5000 0.5000 0.0000  4 Co 2.49-2.64, 2 Re 2.51, 4 Li 2.70

## Properties
- Crystal system: monoclinic
- DOS at the Fermi energy: 3.4 states/eV/f.u.
- Calculated volume: 51.7 Å³/cell

x:
Compound: Li2CoRe
Source: Alexandria via LeMat-Bulk
Functional: PBE
Structure: optimized geometry

a = 2.9537 Å, b = 4.2640 Å, c = 9.0945 Å
α = 90.00°, β = 90.00°, γ = 90.00°
Last column: nearest neighbours and their distance in Å.
Space group Cmm2 (No. 35)
Asymmetric unit:
Li 0.0000 0.0000 0.0000  4 Li 2.59, 2 Re 2.73
Li 0.0000 0.5000 0.2917  2 Co 2.57, 4 Li 2.59
Co 0.0000 0.0000 0.5235  2 Re 2.52, 2 Li 2.57, 4 Co 2.59
Re 0.0000 0.5000 0.7480  2 Co 2.52, 4 Re 2.59, 2 Li 2.73

## Properties
- Crystal system: orthorhombic
- DOS at the Fermi energy: 3.9 states/eV/f.u.
- Calculated volume: 114.5 Å³/cell

Each structure's energy above the most stable one, in meV per atom: w 24; x 0.

w:
Compound: LiCo3Re
Source: Alexandria via LeMat-Bulk
Functional: PBE
Structure: optimized geometry

a = 3.8260 Å, b = 3.8260 Å, c = 3.8260 Å
α = 90.00°, β = 90.00°, γ = 90.00°
Last column: nearest neighbours and their distance in Å.
Space group Pm-3m (No. 221)
Asymmetric unit:
Li 0.0000 0.0000 0.0000  6 Co 1.91
Co 0.0000 0.0000 0.5000  2 Li 1.91
Re 0.5000 0.5000 0.5000  12 Co 2.71

## Properties
- Crystal system: cubic
- DOS at the Fermi energy: 6.1 states/eV/f.u.
- Calculated volume: 56.0 Å³/cell

x:
Compound: LiCo3Re
Source: Alexandria via LeMat-Bulk
Functional: PBE
Structure: optimized geometry

a = 4.4839 Å, b = 4.4839 Å, c = 4.4839 Å
α = 90.00°, β = 90.00°, γ = 90.00°
Last column: nearest neighbours and their distance in Å.
Space group Pm-3m (No. 221)
Asymmetric unit:
Li 0.0000 0.0000 0.0000  12 Co 3.17
Co 0.0000 0.5000 0.5000  2 Re 2.24
Re 0.5000 0.5000 0.5000  6 Co 2.24

## Properties
- Crystal system: cubic
- DOS at the Fermi energy: 5.7 states/eV/f.u.
- Calculated volume: 90.1 Å³/cell

Each structure's energy above the most stable one, in meV per atom: w 0; x 276.

w:
Compound: LiCoRh2
Source: Alexandria via LeMat-Bulk
Functional: PBE
Structure: optimized geometry

a = 2.7665 Å, b = 4.4884 Å, c = 8.6761 Å
α = 90.00°, β = 90.00°, γ = 90.00°
Last column: nearest neighbours and their distance in Å.
Space group Cmmm (No. 65)
Asymmetric unit:
Li 0.0000 0.0000 0.0000  4 Rh 2.61, 6 Li 2.64-2.77
Co 0.0000 0.0000 0.5000  4 Rh 2.54, 6 Co 2.64-2.77
Rh 0.0000 0.5000 0.2548  2 Co 2.54, 2 Li 2.61, 6 Rh 2.64-2.77

## Properties
- Crystal system: orthorhombic
- DOS at the Fermi energy: 4.3 states/eV/f.u.
- Calculated volume: 107.7 Å³/cell

x:
Compound: LiCoRh2
Source: Alexandria via LeMat-Bulk
Functional: PBE
Structure: optimized geometry

a = 5.4147 Å, b = 7.0793 Å, c = 2.6442 Å
α = 90.00°, β = 90.00°, γ = 90.00°
Last column: nearest neighbours and their distance in Å.
Space group Cmmm (No. 65)
Asymmetric unit:
Li 0.0000 0.0000 0.0000  8 Rh 2.59, 2 Li 2.64, 2 Co 2.71
Co 0.0000 0.5000 0.0000  8 Rh 2.59, 2 Co 2.64, 2 Li 2.71
Rh 0.2500 0.2500 0.5000  4 Li 2.59, 4 Co 2.59, 4 Rh 2.64-2.71

## Properties
- Crystal system: orthorhombic
- DOS at the Fermi energy: 5.8 states/eV/f.u.
- Calculated volume: 101.4 Å³/cell

Each structure's energy above the most stable one, in meV per atom: w 33; x 0.